5
Lattice="3.2241 0.0000 0.0000 0.0000 3.2241 0.0000 0.0000 0.0000 3.2241" Properties=species:S:1:pos:R:3 comment="NiH3F (PBE with a Hubbard U, optimized geometry)" total_energy_ev_per_atom=-1.760 relative_energy_ev_per_atom=0.726 vol_a3_per_atom=6.7 pbc="T T T"
Ni 0.0000 0.0000 0.0000
H 0.0000 1.6120 1.6120
H 1.6120 0.0000 1.6120
H 1.6120 1.6120 0.0000
F 1.6120 1.6120 1.6120